Record 1
## PmVPO5 (GGA+U)

Data for a geometry-optimized PmVPO5 structure.

```
16
Lattice="3.349 -4.337 0.000 3.349 4.337 0.000 -2.734 0.000 7.768" Properties=species:S:1:pos:R:3 pbc="T T T"
Pm 0.000 0.000 0.000
Pm -1.367 0.000 3.884
V 1.298 1.421 5.826
V 2.665 -1.421 1.942
P 2.665 1.532 1.942
P 1.298 -1.532 5.826
O 1.529 2.476 2.446
O 1.298 3.359 5.826
O 2.182 0.561 0.820
O 3.801 2.476 1.438
O 0.816 -0.561 4.704
O 3.148 0.561 3.064
O 0.163 -2.476 6.330
O 1.781 -0.561 6.948
O 2.665 -3.359 1.942
O 2.434 -2.476 5.322
```

Values from the calculation:
* space-group type: C2/c
* M_tot: 3.000 μB/f.u.
* E: -123.71 eV per cell


Record 2
## PmVPO6 (GGA+U)

Data for a geometry-optimized PmVPO6 structure.

```
9
Lattice="5.145 0.000 0.000 -2.572 4.456 0.000 0.000 0.000 4.377" Properties=species:S:1:pos:R:3 pbc="T T T"
Pm 0.000 0.000 0.000
V 0.000 2.970 2.188
P 2.572 1.485 0.000
O 2.026 0.154 3.361
O 1.147 1.678 1.016
O 3.119 0.154 1.016
O 1.693 2.624 3.361
O 3.998 1.678 3.361
O 3.452 2.624 1.016
```

Values from the calculation:
* space-group type: P312
* M_tot: 0.995 μB/f.u.
* E: -64.33 eV per cell